A geometry-optimized NaTe5Mo3 structure, computed with PBE.

abc: 6.0074 6.0074 8.2160
angles: 90.00 90.00 120.00
Space group P6/mmm (No. 191)
Symmetry-distinct sites (fractional):
Na1 0.0000 0.0000 0.0000 x1
Te1 0.0000 0.0000 0.5000 x1
Te2 0.3333 0.6667 0.2383 x4
Mo1 0.0000 0.5000 0.5000 x3

Values from the calculation:
The energy comes out at -5.52 eV/atom. As for the density: 6.14 g cm⁻³.

---

A geometry-optimized HoAuSeO structure, computed with PBE.

abc: 5.5505 5.5505 9.4800
angles: 90.00 90.00 90.00
Space group P4mm (No. 99)
Symmetry-distinct sites (fractional):
Ho1 0.0000 0.0000 0.9999 x1
Ho2 0.0000 0.5000 0.7679 x2
Ho3 0.5000 0.5000 0.0000 x1
Au1 0.2502 0.2502 0.3831 x4
Se1 0.0000 0.0000 0.6013 x1
Se2 0.0000 0.5000 0.1648 x2
Se3 0.5000 0.5000 0.6024 x1
O1 0.2500 0.2500 0.8839 x4

Values from the calculation:
For the energy above the most stable polymorph in this dataset, the calculation gives 92 meV per atom. As for the density: 10.39 g cm⁻³.

---

A geometry-optimized Th3Re5N12 structure, computed with PBE.

abc: 12.8861 12.8861 12.8861
angles: 90.00 90.00 90.00
Space group Ia-3d (No. 230)
Symmetry-distinct sites (fractional):
Th1 0.0000 0.2500 0.1250 x24
Re1 0.0000 0.0000 0.0000 x16
Re2 0.0000 0.2500 0.3750 x24
N1 0.0318 0.0469 0.6490 x96

Values from the calculation:
The energy comes out at -9.81 eV/atom. As for the density: 11.15 g cm⁻³.